AcMn2PdO8 | PBE+U | optimized geometry

Computed properties:
- Space-group type: P-3
- Uncorrected energy: -6.59 eV/atom
- Density of states at the Fermi level: 0.452 states/eV/atom
- Total magnetization: 5.0 μB per formula unit

Lattice parameters (Å, degrees): 5.139 5.139 7.229 90.00 90.00 120.00
Element x y z (fractional)
Ac  0.000  0.000  0.000
Mn  0.333  0.667  0.732
Mn  0.667  0.333  0.268
Pd  0.000  0.000  0.500
O  0.028  0.311  0.686
O  0.283  0.972  0.686
O  0.311  0.283  0.314
O  0.333  0.667  0.970
O  0.667  0.333  0.030
O  0.689  0.717  0.686
O  0.717  0.028  0.314
O  0.972  0.689  0.314